Entry 1:
The following is a GGA-PBE calculation of a geometry-optimized EuTmIr2 structure, from the Alexandria database.

a b c (Å): 4.8623 4.8623 4.8623
angles (deg): 60.00 60.00 60.00
Each line ends with the local moment (μB).
Sites, in units of the cell vectors:
Eu  0.0000  0.0000  0.0000  6.60
Ir  0.7500  0.7500  0.7500  -0.08
Ir  0.2500  0.2500  0.2500  -0.08
Tm  0.5000  0.5000  0.5000  0.03

Calculated values
The calculation puts the energy at -34.5 eV/cell. The total magnetization is 1.66 μB/atom. The space-group type is Fm-3m (225). For the energy relative to the lowest polymorph listed for this composition, the calculation gives 59 meV/atom. The calculation puts the density of states at the Fermi level at 10.4 states/eV/f.u. For the formation energy, the calculation gives -2.0 eV/f.u. The value obtained for the density is 14.41 Mg/m³.

=====

Entry 2:
The following is a GGA-PBE calculation of a geometry-optimized EuTmZnIr structure, from the Alexandria database.

a b c (Å): 4.9583 4.9583 4.9583
angles (deg): 60.00 60.00 60.00
Each line ends with the local moment (μB).
Sites, in units of the cell vectors:
Eu  0.7500  0.7500  0.7500  6.70
Tm  0.2500  0.2500  0.2500  0.02
Ir  0.5000  0.5000  0.5000  -0.09
Zn  0.0000  0.0000  0.0000  0.00

Calculated values
The calculation puts the energy at -26.6 eV/cell. The total magnetization is 1.70 μB/atom. The space-group type is F-43m (216). The calculation puts the density of states at the Fermi level at 4.7 states/eV/f.u. For the formation energy, the calculation gives -1.7 eV/f.u. The value obtained for the density is 11.14 Mg/m³.

=====

What did the first record say?
The following is a GGA-PBE calculation of a geometry-optimized EuTmIr2 structure, from the Alexandria database.

a b c (Å): 4.8623 4.8623 4.8623
angles (deg): 60.00 60.00 60.00
Each line ends with the local moment (μB).
Sites, in units of the cell vectors:
Eu  0.0000  0.0000  0.0000  6.60
Ir  0.7500  0.7500  0.7500  -0.08
Ir  0.2500  0.2500  0.2500  -0.08
Tm  0.5000  0.5000  0.5000  0.03

Calculated values
The calculation puts the energy at -34.5 eV/cell. The total magnetization is 1.66 μB/atom. The space-group type is Fm-3m (225). For the energy relative to the lowest polymorph listed for this composition, the calculation gives 59 meV/atom. The calculation puts the density of states at the Fermi level at 10.4 states/eV/f.u. For the formation energy, the calculation gives -2.0 eV/f.u. The value obtained for the density is 14.41 Mg/m³.

=====

Please write out number 2 again, unchanged.
The following is a GGA-PBE calculation of a geometry-optimized EuTmZnIr structure, from the Alexandria database.

a b c (Å): 4.9583 4.9583 4.9583
angles (deg): 60.00 60.00 60.00
Each line ends with the local moment (μB).
Sites, in units of the cell vectors:
Eu  0.7500  0.7500  0.7500  6.70
Tm  0.2500  0.2500  0.2500  0.02
Ir  0.5000  0.5000  0.5000  -0.09
Zn  0.0000  0.0000  0.0000  0.00

Calculated values
The calculation puts the energy at -26.6 eV/cell. The total magnetization is 1.70 μB/atom. The space-group type is F-43m (216). The calculation puts the density of states at the Fermi level at 4.7 states/eV/f.u. For the formation energy, the calculation gives -1.7 eV/f.u. The value obtained for the density is 11.14 Mg/m³.